Entry 1:
Hf2NbGa2 | meta-GGA SCAN | PBEsol geometry

Properties
The calculation puts the density of states at the Fermi level at 0.806 states/eV/atom. As for the density: 10.9 Mg/m³. As for the energy: -38.76 eV per atom. The value obtained for the volume is 17.88 A^3/atom. The calculation puts the formation energy from the elements at -528.4 meV per atom.

abc: 3.6238 7.0240 7.0240
angles: 90.00 90.00 90.00
Last column: nearest neighbours and their distance in Å.
Sites, in units of the cell vectors:
Nb 0.0000 0.0000 0.0000  4 Ga 2.78
Nb 0.0000 0.5000 0.5000  4 Ga 2.78
Hf 0.5000 0.8221 0.3221  6 Ga 2.67-2.82
Hf 0.5000 0.3221 0.1779  6 Ga 2.67-2.82
Hf 0.5000 0.6779 0.8221  6 Ga 2.67-2.82
Hf 0.5000 0.1779 0.6779  6 Ga 2.67-2.82
Ga 0.0000 0.8751 0.6249  1 Ga 2.48, 2 Hf 2.67, 2 Nb 2.78
Ga 0.0000 0.3751 0.8751  1 Ga 2.48, 2 Hf 2.67, 2 Nb 2.78
Ga 0.0000 0.1249 0.3751  1 Ga 2.48, 2 Hf 2.67, 2 Nb 2.78
Ga 0.0000 0.6249 0.1249  1 Ga 2.48, 2 Hf 2.67, 2 Nb 2.78

---

Entry 2:
Hf2Ga2Ni | meta-GGA SCAN | PBEsol geometry

Properties
The calculation puts the density of states at the Fermi level at 0.387 states/eV/atom. As for the density: 11.3 Mg/m³. As for the energy: -35.43 eV per atom. The value obtained for the volume is 16.29 A^3/atom. The calculation puts the formation energy from the elements at -586.2 meV per atom.

abc: 4.1480 6.2658 6.2658
angles: 90.00 90.00 90.00
Last column: nearest neighbours and their distance in Å.
Sites, in units of the cell vectors:
Hf 0.5000 0.1714 0.6714  6 Ga 2.66-2.86
Hf 0.5000 0.3286 0.1714  6 Ga 2.66-2.86
Hf 0.5000 0.8286 0.3286  6 Ga 2.66-2.86
Hf 0.5000 0.6714 0.8286  6 Ga 2.66-2.86
Ga 0.0000 0.3597 0.8597  2 Ni 2.42, 1 Ga 2.49, 2 Hf 2.66
Ga 0.0000 0.8597 0.6403  2 Ni 2.42, 1 Ga 2.49, 2 Hf 2.66
Ga 0.0000 0.1403 0.3597  2 Ni 2.42, 1 Ga 2.49, 2 Hf 2.66
Ga 0.0000 0.6403 0.1403  2 Ni 2.42, 1 Ga 2.49, 2 Hf 2.66
Ni 0.0000 0.0000 0.0000  4 Ga 2.42
Ni 0.0000 0.5000 0.5000  4 Ga 2.42

---

Entry 3:
HfGa2Ni | meta-GGA SCAN | PBEsol geometry

Properties
The calculation puts the density of states at the Fermi level at 0.291 states/eV/atom. As for the density: 10.6 Mg/m³. As for the energy: -28.51 eV per atom. The value obtained for the volume is 14.72 A^3/atom. The calculation puts the formation energy from the elements at -629.3 meV per atom.

abc: 7.9896 9.4686 9.4686
angles: 79.75 65.05 65.05
Last column: nearest neighbours and their distance in Å.
Sites, in units of the cell vectors:
Hf 0.1279 0.2864 0.7136  3 Ni 2.77-2.97, 9 Ga 2.77-3.07
Hf 0.8389 0.0000 0.5943  4 Ni 2.65-2.79, 6 Ga 2.80-2.82
Hf 0.4332 0.4057 0.0000  4 Ni 2.65-2.79, 6 Ga 2.80-2.82
Hf 0.4332 0.0000 0.4057  4 Ni 2.65-2.79, 6 Ga 2.80-2.82
Hf 0.8389 0.5943 0.0000  4 Ni 2.65-2.79, 6 Ga 2.80-2.82
Hf 0.1279 0.7136 0.2864  3 Ni 2.77-2.97, 9 Ga 2.77-3.07
Hf 0.5075 0.0000 0.0000  4 Ni 2.63, 4 Ga 2.88
Hf 0.8415 0.2864 0.2864  3 Ni 2.77-2.97, 9 Ga 2.77-3.07
Hf 0.0673 0.0000 0.0000  8 Ga 2.88-2.90, 4 Ni 2.89
Hf 0.4143 0.7136 0.7136  3 Ni 2.77-2.97, 9 Ga 2.77-3.07
Ga 0.0329 0.2098 0.4933  3 Ni 2.49-2.51, 3 Ga 2.62-2.77
Ga 0.0309 0.6177 0.6177  3 Ni 2.41-2.47, 2 Ga 2.62
Ga 0.5262 0.5067 0.2098  3 Ni 2.49-2.51, 3 Ga 2.62-2.77
Ga 0.9543 0.8412 0.8412  3 Ni 2.43-2.58
Ga 0.2663 0.3823 0.3823  3 Ni 2.41-2.47, 2 Ga 2.62
Ga 0.0329 0.4933 0.2098  3 Ni 2.49-2.51, 3 Ga 2.62-2.77
Ga 0.7955 0.1588 0.8412  3 Ni 2.43-2.58
Ga 0.1544 0.0000 0.2659  3 Ni 2.47-2.56
Ga 0.6367 0.1588 0.1588  3 Ni 2.43-2.58
Ga 0.1544 0.2659 0.0000  3 Ni 2.47-2.56
Ga 0.5262 0.2098 0.5067  3 Ni 2.49-2.51, 3 Ga 2.62-2.77
Ga 0.4202 0.0000 0.7341  3 Ni 2.47-2.56
Ga 0.7360 0.7902 0.5067  3 Ni 2.49-2.51, 3 Ga 2.62-2.77
Ga 0.4202 0.7341 0.0000  3 Ni 2.47-2.56
Ga 0.2427 0.4933 0.7902  3 Ni 2.49-2.51, 3 Ga 2.62-2.77
Ga 0.7360 0.5067 0.7902  3 Ni 2.49-2.51, 3 Ga 2.62-2.77
Ga 0.2427 0.7902 0.4933  3 Ni 2.49-2.51, 3 Ga 2.62-2.77
Ga 0.6486 0.3823 0.6177  3 Ni 2.41-2.47, 2 Ga 2.62
Ga 0.6486 0.6177 0.3823  3 Ni 2.41-2.47, 2 Ga 2.62
Ga 0.7955 0.8412 0.1588  3 Ni 2.43-2.58
Ni 0.4844 0.2160 0.7840  6 Ga 2.41-2.58, 1 Hf 2.63
Ni 0.7005 0.7840 0.7840  6 Ga 2.41-2.58, 1 Hf 2.63
Ni 0.4844 0.7840 0.2160  6 Ga 2.41-2.58, 1 Hf 2.63
Ni 0.8113 0.3249 0.0000  5 Ga 2.43-2.56, 1 Hf 2.65
Ni 0.4011 0.5000 0.5000  8 Ga 2.44-2.50
Ni 0.1362 0.6751 0.0000  5 Ga 2.43-2.56, 1 Hf 2.65
Ni 0.1362 0.0000 0.6751  5 Ga 2.43-2.56, 1 Hf 2.65
Ni 0.2684 0.2160 0.2160  6 Ga 2.41-2.58, 1 Hf 2.63
Ni 0.9011 0.5000 0.5000  8 Ga 2.44-2.50
Ni 0.8113 0.0000 0.3249  5 Ga 2.43-2.56, 1 Hf 2.65

---

Entry 4:
HfGaSeO2 | meta-GGA SCAN | PBEsol geometry

Properties
The calculation puts the density of states at the Fermi level at 0.428 states/eV/atom. As for the density: 5.9 Mg/m³. As for the energy: -23.79 eV per atom. The value obtained for the volume is 20.05 A^3/atom.

abc: 3.9121 3.9121 6.5515
angles: 90.00 90.00 90.00
Last column: nearest neighbours and their distance in Å.
Sites, in units of the cell vectors:
Se 0.5000 0.5000 0.5000  4 Ga 2.77
Hf 0.0000 0.0000 0.0000  4 O 1.96
Ga 0.0000 0.0000 0.5000  4 Se 2.77
O 0.0000 0.5000 0.0000  2 Hf 1.96
O 0.5000 0.0000 0.0000  2 Hf 1.96

---

Entry 5:
Hf2Ga2Os | meta-GGA SCAN | PBEsol geometry

Properties
The calculation puts the density of states at the Fermi level at 0.320 states/eV/atom. As for the density: 13.8 Mg/m³. As for the energy: -46.62 eV per atom. The value obtained for the volume is 16.49 A^3/atom. The calculation puts the formation energy from the elements at -633.3 meV per atom.

abc: 3.7245 6.6536 6.6536
angles: 90.00 90.00 90.00
Last column: nearest neighbours and their distance in Å.
Sites, in units of the cell vectors:
Ga 0.0000 0.8699 0.6301  1 Ga 2.45, 2 Os 2.61, 2 Hf 2.62
Ga 0.0000 0.6301 0.1301  1 Ga 2.45, 2 Os 2.61, 2 Hf 2.62
Ga 0.0000 0.1301 0.3699  1 Ga 2.45, 2 Os 2.61, 2 Hf 2.62
Ga 0.0000 0.3699 0.8699  1 Ga 2.45, 2 Os 2.61, 2 Hf 2.62
Hf 0.5000 0.1738 0.6738  6 Ga 2.62-2.76
Hf 0.5000 0.8262 0.3262  6 Ga 2.62-2.76
Hf 0.5000 0.3262 0.1738  6 Ga 2.62-2.76
Hf 0.5000 0.6738 0.8262  6 Ga 2.62-2.76
Os 0.0000 0.0000 0.0000  4 Ga 2.61
Os 0.0000 0.5000 0.5000  4 Ga 2.61

---

Entry 6:
HfTi2GaP | meta-GGA SCAN | PBEsol geometry

Properties
The calculation puts the density of states at the Fermi level at 0.715 states/eV/atom. As for the density: 6.8 Mg/m³. As for the energy: -24.33 eV per atom. The value obtained for the volume is 18.40 A^3/atom. The calculation puts the formation energy from the elements at -29.8 meV per atom.

abc: 4.4867 4.4867 4.5714
angles: 90.00 90.00 90.00
Last column: nearest neighbours and their distance in Å.
Sites, in units of the cell vectors:
Ti 0.5000 0.0000 0.0000  2 P 2.24
Ti 0.0000 0.5000 0.0000  2 P 2.24
Hf 0.5000 0.5000 0.5000  4 Ga 3.17, 8 Ti 3.20
P 0.0000 0.0000 0.0000  4 Ti 2.24, 2 Ga 2.29
Ga 0.0000 0.0000 0.5000  2 P 2.29

---

Entry 7:
HfGa3Pb | meta-GGA SCAN | PBEsol geometry

Properties
The calculation puts the density of states at the Fermi level at 0.690 states/eV/atom. As for the density: 7.4 Mg/m³. As for the energy: -37.05 eV per atom. The value obtained for the volume is 26.76 A^3/atom. The calculation puts the formation energy from the elements at 446.6 meV per atom.

abc: 5.1145 5.1145 5.1145
angles: 90.00 90.00 90.00
Last column: nearest neighbours and their distance in Å.
Sites, in units of the cell vectors:
Ga 0.0000 0.0000 0.5000  2 Hf 2.56
Ga 0.5000 0.0000 0.0000  2 Hf 2.56
Ga 0.0000 0.5000 0.0000  2 Hf 2.56
Pb 0.5000 0.5000 0.5000  12 Ga 3.62
Hf 0.0000 0.0000 0.0000  6 Ga 2.56

---

Entry 8:
HfGa2RePb | meta-GGA SCAN | PBEsol geometry

Properties
The calculation puts the density of states at the Fermi level at 0.631 states/eV/atom. As for the density: 8.9 Mg/m³. As for the energy: -46.46 eV per atom. The value obtained for the volume is 26.63 A^3/atom. The calculation puts the formation energy from the elements at 1985.6 meV per atom.

abc: 4.9322 4.9322 5.4731
angles: 90.00 90.00 90.00
Last column: nearest neighbours and their distance in Å.
Sites, in units of the cell vectors:
Ga 0.0000 0.5000 0.0000  2 Pb 2.47
Ga 0.5000 0.0000 0.0000  2 Pb 2.47
Re 0.5000 0.5000 0.5000  4 Hf 3.49, 8 Ga 3.68
Hf 0.0000 0.0000 0.5000  2 Pb 2.74
Pb 0.0000 0.0000 0.0000  4 Ga 2.47, 2 Hf 2.74

---

Entry 9:
HfGa2Pd2 | meta-GGA SCAN | PBEsol geometry

Properties
The calculation puts the density of states at the Fermi level at 0.379 states/eV/atom. As for the density: 10.6 Mg/m³. As for the energy: -32.74 eV per atom. The value obtained for the volume is 16.61 A^3/atom. The calculation puts the formation energy from the elements at -556.9 meV per atom.

abc: 3.6445 3.6445 6.7618
angles: 105.63 105.63 90.00
Last column: nearest neighbours and their distance in Å.
Sites, in units of the cell vectors:
Ga 0.2500 0.7500 0.5000  4 Ga 2.58, 4 Pd 2.58
Ga 0.7500 0.2500 0.5000  4 Ga 2.58, 4 Pd 2.58
Hf 0.0000 0.0000 0.0000  8 Pd 2.88
Pd 0.6037 0.6037 0.2074  4 Ga 2.58, 1 Pd 2.59, 4 Hf 2.88
Pd 0.3963 0.3963 0.7926  4 Ga 2.58, 1 Pd 2.59, 4 Hf 2.88

---

Entry 10:
HfGaPd | meta-GGA SCAN | PBEsol geometry

Properties
The calculation puts the density of states at the Fermi level at 0.324 states/eV/atom. As for the density: 11.8 Mg/m³. As for the energy: -38.10 eV per atom. The value obtained for the volume is 16.63 A^3/atom. The calculation puts the formation energy from the elements at -839.6 meV per atom.

abc: 6.8366 7.1102 7.1102
angles: 120.00 90.00 90.00
Last column: nearest neighbours and their distance in Å.
Sites, in units of the cell vectors:
Hf 0.7500 0.0224 0.4091  5 Pd 2.75-2.83, 4 Ga 2.92-2.96
Hf 0.2500 0.6133 0.5909  5 Pd 2.75-2.83, 4 Ga 2.92-2.96
Hf 0.7500 0.5909 0.6133  5 Pd 2.75-2.83, 4 Ga 2.92-2.96
Hf 0.2500 0.4091 0.0224  5 Pd 2.75-2.83, 4 Ga 2.92-2.96
Hf 0.2500 0.9776 0.3867  5 Pd 2.75-2.83, 4 Ga 2.92-2.96
Hf 0.7500 0.3867 0.9776  5 Pd 2.75-2.83, 4 Ga 2.92-2.96
Ga 0.5000 0.7302 0.0000  4 Pd 2.57-2.63
Ga 0.0000 0.2698 0.2698  4 Pd 2.57-2.63
Ga 0.0000 0.0000 0.7302  4 Pd 2.57-2.63
Ga 0.0000 0.7302 0.0000  4 Pd 2.57-2.63
Ga 0.5000 0.2698 0.2698  4 Pd 2.57-2.63
Ga 0.5000 0.0000 0.7302  4 Pd 2.57-2.63
Pd 0.5323 0.6667 0.3333  3 Ga 2.63, 6 Hf 2.75-2.81
Pd 0.9677 0.6667 0.3333  3 Ga 2.63, 6 Hf 2.75-2.81
Pd 0.4677 0.3333 0.6667  3 Ga 2.63, 6 Hf 2.75-2.81
Pd 0.7500 0.0000 0.0000  6 Ga 2.57, 3 Hf 2.83
Pd 0.0323 0.3333 0.6667  3 Ga 2.63, 6 Hf 2.75-2.81
Pd 0.2500 0.0000 0.0000  6 Ga 2.57, 3 Hf 2.83

---

Entry 11:
Hf2GaPd2 | meta-GGA SCAN | PBEsol geometry

Properties
The calculation puts the density of states at the Fermi level at 0.483 states/eV/atom. As for the density: 10.4 Mg/m³. As for the energy: -41.72 eV per atom. The polymorph energy (0 for the lowest one) is 460 meV/atom. The value obtained for the volume is 20.49 A^3/atom. The calculation puts the formation energy from the elements at -274.2 meV per atom.

abc: 4.4965 4.4965 5.9813
angles: 112.08 112.08 90.00
Last column: nearest neighbours and their distance in Å.
Sites, in units of the cell vectors:
Pd 0.3794 0.3794 0.7587  1 Pd 2.44, 4 Hf 2.60
Pd 0.6206 0.6206 0.2413  1 Pd 2.44, 4 Hf 2.60
Ga 0.0000 0.0000 0.0000  8 Hf 3.39, 8 Pd 3.41
Hf 0.2500 0.7500 0.5000  4 Pd 2.60
Hf 0.7500 0.2500 0.5000  4 Pd 2.60

---

Entry 12:
Hf2GaPd2 | meta-GGA SCAN | PBEsol geometry

Properties
The calculation puts the density of states at the Fermi level at 0.413 states/eV/atom. As for the density: 12.1 Mg/m³. As for the energy: -42.18 eV per atom. The polymorph energy (0 for the lowest one) is 0 meV/atom. The value obtained for the volume is 17.61 A^3/atom. The calculation puts the formation energy from the elements at -733.7 meV per atom.

abc: 3.3378 7.2631 7.2631
angles: 90.00 90.00 90.00
Last column: nearest neighbours and their distance in Å.
Sites, in units of the cell vectors:
Hf 0.5000 0.8291 0.3291  6 Pd 2.64-2.77
Hf 0.5000 0.6709 0.8291  6 Pd 2.64-2.77
Hf 0.5000 0.3291 0.1709  6 Pd 2.64-2.77
Hf 0.5000 0.1709 0.6709  6 Pd 2.64-2.77
Pd 0.0000 0.6302 0.1302  6 Hf 2.64-2.77, 1 Pd 2.68, 2 Ga 2.85
Pd 0.0000 0.1302 0.3698  6 Hf 2.64-2.77, 1 Pd 2.68, 2 Ga 2.85
Pd 0.0000 0.3698 0.8698  6 Hf 2.64-2.77, 1 Pd 2.68, 2 Ga 2.85
Pd 0.0000 0.8698 0.6302  6 Hf 2.64-2.77, 1 Pd 2.68, 2 Ga 2.85
Ga 0.0000 0.0000 0.0000  4 Pd 2.85, 8 Hf 3.17
Ga 0.0000 0.5000 0.5000  4 Pd 2.85, 8 Hf 3.17

---

> The highest energy belongs to which entry?

HfGaSeO2

---

> Which of these has the highest density?

Hf2Ga2Os